# BaMn2TlO8 GGA+U optimized geometry
# Total magnetization ... 1.00 μB/f.u.
# Calculated total energy ... -5.989 eV/atom
# Density ... 3.9 g/cm³
data_BaMn2TlO8
_space_group_name_H-M_alt 'P -3'
_space_group_IT_number 147
_cell_length_a 5.7123
_cell_length_b 5.7123
_cell_length_c 8.6609
_cell_angle_alpha 90.00
_cell_angle_beta 90.00
_cell_angle_gamma 120.00
loop_
_space_group_symop_operation_xyz
'x,y,z'
'-x,-y,-z'
'-y,x-y,z'
'y,-x+y,-z'
'-x+y,-x,z'
'x-y,x,-z'
loop_
_atom_site_label
_atom_site_type_symbol
_atom_site_fract_x
_atom_site_fract_y
_atom_site_fract_z
Ba1 Ba 0.0000 0.0000 0.0000
Mn1 Mn 0.3333 0.6667 0.8077
Tl1 Tl 0.0000 0.0000 0.5000
O1 O 0.1739 0.3518 0.7471
O2 O 0.3333 0.6667 0.9972